(1)
Here is a relaxed Ga3W crystal from OQMD via LeMat-Bulk. Energies are from PBE.

**Symmetry**: No. 136
**Electronic total energy**: -87.9 eV for the cell shown

a b c (Å): 6.5666 6.5666 7.4071
angles (deg): 90.00 90.00 90.00
Element x y z (fractional)
W: 0.6361 0.6361 0.0000
W: 0.3639 0.3639 0.0000
W: 0.8639 0.1361 0.5000
W: 0.1361 0.8639 0.5000
Ga: 0.0000 0.5000 0.0000
Ga: 0.3290 0.6710 0.7528
Ga: 0.0000 0.5000 0.5000
Ga: 0.6710 0.3290 0.7528
Ga: 0.1710 0.1710 0.7472
Ga: 0.5000 0.0000 0.5000
Ga: 0.5000 0.0000 0.0000
Ga: 0.3290 0.6710 0.2472
Ga: 0.8290 0.8290 0.7472
Ga: 0.1710 0.1710 0.2528
Ga: 0.6710 0.3290 0.2472
Ga: 0.8290 0.8290 0.2528

(2)
Here is a relaxed GaW2 crystal from OQMD via LeMat-Bulk. Energies are from PBE.

**Energy above the most stable polymorph in this dataset**: 4039 meV/atom
**Symmetry**: No. 227

a b c (Å): 8.0852 8.0852 8.0852
angles (deg): 60.00 60.00 60.00
Site moments in Bohr magnetons follow the coordinates.
Element x y z (fractional)
Ga: 0.2500 0.2500 0.2500  -0.07
Ga: 0.5000 0.5000 0.5000  -0.07
W: 0.3750 0.3750 0.3750  2.62
W: 0.8750 0.3750 0.3750  2.58
W: 0.3750 0.8750 0.3750  2.67
W: 0.3750 0.3750 0.8750  2.65

(3)
Here is a relaxed Ga2W3 crystal from OQMD via LeMat-Bulk. Energies are from PBE.

**Symmetry**: No. 15
**Electronic total energy**: -87.7 eV for the cell shown

a b c (Å): 6.6950 6.6950 5.5604
angles (deg): 98.35 98.35 40.36
Element x y z (fractional)
Ga: 0.4918 0.3839 0.4564
Ga: 0.9792 0.0871 0.1229
Ga: 0.0871 0.9792 0.6229
Ga: 0.3839 0.4918 0.9564
W: 0.5925 0.6796 0.3309
W: 0.8783 0.7914 0.2477
W: 0.2327 0.2382 0.5391
W: 0.7914 0.8783 0.7477
W: 0.2382 0.2327 0.0391
W: 0.6796 0.5925 0.8309

(4)
Here is a relaxed GaW2 crystal from OQMD via LeMat-Bulk. Energies are from PBE.

**Energy above the most stable polymorph in this dataset**: 399 meV/atom
**Symmetry**: No. 227

a b c (Å): 5.2928 5.2928 5.2928
angles (deg): 60.00 60.00 60.00
Element x y z (fractional)
W: 0.6250 0.6250 0.6250
W: 0.6250 0.6250 0.1250
W: 0.1250 0.6250 0.6250
W: 0.6250 0.1250 0.6250
Ga: 0.2500 0.2500 0.2500
Ga: 0.0000 0.0000 0.0000

(5)
Here is a relaxed GaW2 crystal from OQMD via LeMat-Bulk. Energies are from PBE.

**Energy above the most stable polymorph in this dataset**: 0 meV/atom
**Symmetry**: No. 140

a b c (Å): 4.9873 4.9873 4.9873
angles (deg): 104.67 104.67 119.57
Element x y z (fractional)
W: 0.3473 0.1527 0.5000
W: 0.6527 0.8473 0.5000
W: 0.8473 0.3473 0.1946
W: 0.1527 0.6527 0.8054
Ga: 0.2500 0.2500 0.0000
Ga: 0.7500 0.7500 0.0000

(6)
Here is a relaxed YGaW2 crystal from OQMD via LeMat-Bulk. Energies are from PBE.

**Symmetry**: No. 216
**Electronic total energy**: -34.5 eV for the cell shown

a b c (Å): 4.6829 4.6829 4.6829
angles (deg): 60.00 60.00 60.00
Element x y z (fractional)
W: 0.7500 0.7500 0.7500
W: 0.0000 0.0000 0.0000
Ga: 0.5000 0.5000 0.5000
Y: 0.2500 0.2500 0.2500

Spin magnetization / μB per formula unit: 0.0; 7.2; 0.0; 0.0; 0.0; 0.0